# PBE-GGA BaAsC2, relaxed
# Space-group type: I-42d
# DOS(E_F): 1.923 states/eV/f.u.
data_BaAsC2
_symmetry_space_group_name_H-M 'P 1'
_symmetry_Int_Tables_number 1
_cell_length_a 6.175
_cell_length_b 6.175
_cell_length_c 5.722
_cell_angle_alpha 57.35
_cell_angle_beta 57.35
_cell_angle_gamma 90.00
loop_
_symmetry_equiv_pos_as_xyz
'x,y,z'
loop_
_atom_site_label
_atom_site_fract_x
_atom_site_fract_y
_atom_site_fract_z
C1 0.506 0.125 0.250
C2 0.244 0.625 0.250
C3 0.375 0.494 0.750
C4 0.875 0.756 0.750
As1 0.500 0.500 0.000
As2 0.250 0.750 0.500
Ba1 0.000 0.000 0.000
Ba2 0.750 0.250 0.500

---

# PBE-GGA K2TiBr4F2, relaxed
# Formation energy (no corrections): -1750.7 kJ/mol of formula units
# Space-group type: C2/m
data_K2TiBr4F2
_symmetry_space_group_name_H-M 'P 1'
_symmetry_Int_Tables_number 1
_cell_length_a 5.848
_cell_length_b 6.905
_cell_length_c 6.905
_cell_angle_alpha 65.75
_cell_angle_beta 79.09
_cell_angle_gamma 79.09
loop_
_symmetry_equiv_pos_as_xyz
'x,y,z'
loop_
_atom_site_label
_atom_site_fract_x
_atom_site_fract_y
_atom_site_fract_z
K1 0.175 0.676 0.676
K2 0.825 0.324 0.324
Ti1 0.500 0.000 0.000
Br1 0.304 0.658 0.148
Br2 0.696 0.852 0.342
Br3 0.696 0.342 0.852
Br4 0.304 0.148 0.658
F1 0.248 0.131 0.131
F2 0.752 0.869 0.869

---

# PBE-GGA FeHCI, relaxed
# Polymorph energy (0 for the lowest one): 221.0 meV/atom
# Space-group type: P1
# DOS(E_F): 1.856 states/eV/f.u.
data_FeHCI
_symmetry_space_group_name_H-M 'P 1'
_symmetry_Int_Tables_number 1
_cell_length_a 5.728
_cell_length_b 3.204
_cell_length_c 4.028
_cell_angle_alpha 90.02
_cell_angle_beta 87.31
_cell_angle_gamma 74.13
loop_
_symmetry_equiv_pos_as_xyz
'x,y,z'
loop_
_atom_site_label
_atom_site_fract_x
_atom_site_fract_y
_atom_site_fract_z
I1 0.806 0.370 0.802
H1 0.279 0.140 0.560
C1 0.216 0.670 0.222
Fe1 0.103 0.225 0.291

---

# PBE-GGA GaNiIrS2, relaxed
# Formation energy (no corrections): 255.9 kJ/mol of formula units
# Space-group type: P4/mmm
# DOS(E_F): 6.064 states/eV/f.u.
data_GaNiIrS2
_symmetry_space_group_name_H-M 'P 1'
_symmetry_Int_Tables_number 1
_cell_length_a 4.628
_cell_length_b 4.721
_cell_length_c 4.628
_cell_angle_alpha 90.00
_cell_angle_beta 90.00
_cell_angle_gamma 90.00
loop_
_symmetry_equiv_pos_as_xyz
'x,y,z'
loop_
_atom_site_label
_atom_site_fract_x
_atom_site_fract_y
_atom_site_fract_z
Ni1 0.000 0.500 0.000
S1 0.000 0.000 0.500
S2 0.500 0.000 0.000
Ir1 0.000 0.000 0.000
Ga1 0.500 0.500 0.500

---

# PBE-GGA Mg4ScCu5, relaxed
# Space-group type: P4/mmm
# DOS(E_F): 4.207 states/eV/f.u.
data_Mg4ScCu5
_symmetry_space_group_name_H-M 'P 1'
_symmetry_Int_Tables_number 1
_cell_length_a 3.199
_cell_length_b 3.199
_cell_length_c 15.664
_cell_angle_alpha 90.00
_cell_angle_beta 90.00
_cell_angle_gamma 90.00
loop_
_symmetry_equiv_pos_as_xyz
'x,y,z'
loop_
_atom_site_label
_atom_site_fract_x
_atom_site_fract_y
_atom_site_fract_z
Mg1 0.000 0.000 0.205
Mg2 0.000 0.000 0.402
Mg3 0.000 0.000 0.598
Mg4 0.000 0.000 0.795
Sc1 0.000 0.000 0.000
Cu1 0.500 0.500 0.104
Cu2 0.500 0.500 0.305
Cu3 0.500 0.500 0.500
Cu4 0.500 0.500 0.695
Cu5 0.500 0.500 0.896

---

# PBE-GGA BP2N2Cl7, relaxed
# Formation energy (no corrections): -823.0 kJ/mol of formula units
# Space-group type: P2_1/c
# DOS(E_F): 0.000 states/eV/f.u.
data_BP2N2Cl7
_symmetry_space_group_name_H-M 'P 1'
_symmetry_Int_Tables_number 1
_cell_length_a 8.759
_cell_length_b 10.003
_cell_length_c 15.455
_cell_angle_alpha 75.66
_cell_angle_beta 90.00
_cell_angle_gamma 90.00
loop_
_symmetry_equiv_pos_as_xyz
'x,y,z'
loop_
_atom_site_label
_atom_site_fract_x
_atom_site_fract_y
_atom_site_fract_z
B1 0.431 0.920 0.479
B2 0.069 0.420 0.979
B3 0.569 0.080 0.521
B4 0.931 0.580 0.021
P1 0.129 0.436 0.161
P2 0.537 0.004 0.168
P3 0.629 0.064 0.339
P4 0.463 0.996 0.832
P5 0.371 0.936 0.661
P6 0.871 0.564 0.839
P7 0.963 0.504 0.668
P8 0.037 0.496 0.332
N1 0.545 0.035 0.432
N2 0.955 0.535 0.932
N3 0.045 0.465 0.068
N4 0.466 0.993 0.732
N5 0.455 0.965 0.568
N6 0.534 0.007 0.268
N7 0.034 0.493 0.232
N8 0.966 0.507 0.768
Cl1 0.158 0.018 0.654
Cl2 0.341 0.925 0.139
Cl3 0.266 0.445 0.934
Cl4 0.443 0.813 0.918
Cl5 0.830 0.766 0.794
Cl6 0.801 0.387 0.634
Cl7 0.557 0.187 0.082
Cl8 0.170 0.234 0.206
Cl9 0.330 0.734 0.706
Cl10 0.766 0.055 0.566
Cl11 0.342 0.518 0.154
Cl12 0.301 0.113 0.866
Cl13 0.699 0.887 0.134
Cl14 0.658 0.482 0.846
Cl15 0.503 0.259 0.516
Cl16 0.670 0.266 0.294
Cl17 0.159 0.425 0.639
Cl18 0.734 0.555 0.066
Cl19 0.659 0.075 0.861
Cl20 0.842 0.982 0.346
Cl21 0.199 0.613 0.366
Cl22 0.943 0.687 0.582
Cl23 0.003 0.241 0.984
Cl24 0.841 0.575 0.361
Cl25 0.234 0.945 0.434
Cl26 0.057 0.313 0.418
Cl27 0.997 0.759 0.016
Cl28 0.497 0.741 0.484

---

# PBE-GGA Ca2TiAs2, relaxed
# Space-group type: P4/mbm
# DOS(E_F): 1.278 states/eV/f.u.
data_Ca2TiAs2
_symmetry_space_group_name_H-M 'P 1'
_symmetry_Int_Tables_number 1
_cell_length_a 7.223
_cell_length_b 7.223
_cell_length_c 4.302
_cell_angle_alpha 90.00
_cell_angle_beta 90.00
_cell_angle_gamma 90.00
loop_
_symmetry_equiv_pos_as_xyz
'x,y,z'
loop_
_atom_site_label
_atom_site_fract_x
_atom_site_fract_y
_atom_site_fract_z
As1 0.340 0.840 0.000
As2 0.840 0.660 0.000
As3 0.660 0.160 0.000
As4 0.160 0.340 0.000
Ca1 0.155 0.655 0.500
Ca2 0.655 0.845 0.500
Ca3 0.845 0.345 0.500
Ca4 0.345 0.155 0.500
Ti1 0.000 0.000 0.000
Ti2 0.500 0.500 0.000

---

# PBE-GGA CdSiBr2, relaxed
# Formation energy (no corrections): 9.6 kJ/mol of formula units
# Polymorph energy (0 for the lowest one): 191.0 meV/atom
# Space-group type: I-42d
# DOS(E_F): 0.027 states/eV/f.u.
data_CdSiBr2
_symmetry_space_group_name_H-M 'P 1'
_symmetry_Int_Tables_number 1
_cell_length_a 8.361
_cell_length_b 8.361
_cell_length_c 8.314
_cell_angle_alpha 59.81
_cell_angle_beta 59.81
_cell_angle_gamma 90.00
loop_
_symmetry_equiv_pos_as_xyz
'x,y,z'
loop_
_atom_site_label
_atom_site_fract_x
_atom_site_fract_y
_atom_site_fract_z
Si1 0.500 0.500 0.000
Si2 0.250 0.750 0.500
Br1 0.377 0.125 0.250
Br2 0.373 0.625 0.250
Br3 0.375 0.623 0.750
Br4 0.875 0.627 0.750
Cd1 0.000 0.000 0.000
Cd2 0.750 0.250 0.500

---

# PBE-GGA RbSr2ScRu, relaxed
# Space-group type: P4/mmm
# DOS(E_F): 10.858 states/eV/f.u.
data_RbSr2ScRu
_symmetry_space_group_name_H-M 'P 1'
_symmetry_Int_Tables_number 1
_cell_length_a 5.831
_cell_length_b 5.048
_cell_length_c 5.831
_cell_angle_alpha 90.00
_cell_angle_beta 90.00
_cell_angle_gamma 90.00
loop_
_symmetry_equiv_pos_as_xyz
'x,y,z'
loop_
_atom_site_label
_atom_site_fract_x
_atom_site_fract_y
_atom_site_fract_z
Sc1 0.000 0.500 0.000
Ru1 0.500 0.500 0.500
Rb1 0.000 0.000 0.000
Sr1 0.000 0.000 0.500
Sr2 0.500 0.000 0.000

---

# PBE-GGA LiTcGe, relaxed
# Polymorph energy (0 for the lowest one): 49.4 meV/atom
# Space-group type: P4/nmm
# DOS(E_F): 2.039 states/eV/f.u.
data_LiTcGe
_symmetry_space_group_name_H-M 'P 1'
_symmetry_Int_Tables_number 1
_cell_length_a 3.784
_cell_length_b 3.784
_cell_length_c 6.879
_cell_angle_alpha 90.00
_cell_angle_beta 90.00
_cell_angle_gamma 90.00
loop_
_symmetry_equiv_pos_as_xyz
'x,y,z'
loop_
_atom_site_label
_atom_site_fract_x
_atom_site_fract_y
_atom_site_fract_z
Li1 0.000 0.500 0.848
Li2 0.500 0.000 0.152
Tc1 0.500 0.500 0.500
Tc2 0.000 0.000 0.500
Ge1 0.000 0.500 0.241
Ge2 0.500 0.000 0.759

---

# PBE-GGA Ti5Pb3S12, relaxed
# Formation energy (no corrections): -1871.9 kJ/mol of formula units
# Space-group type: Ia-3d
# DOS(E_F): 10.821 states/eV/f.u.
data_Ti5Pb3S12
_symmetry_space_group_name_H-M 'P 1'
_symmetry_Int_Tables_number 1
_cell_length_a 13.446
_cell_length_b 13.446
_cell_length_c 13.446
_cell_angle_alpha 109.47
_cell_angle_beta 109.47
_cell_angle_gamma 109.47
loop_
_symmetry_equiv_pos_as_xyz
'x,y,z'
loop_
_atom_site_label
_atom_site_fract_x
_atom_site_fract_y
_atom_site_fract_z
Pb1 0.750 0.375 0.125
Pb2 0.875 0.750 0.125
Pb3 0.375 0.750 0.625
Pb4 0.250 0.125 0.375
Pb5 0.875 0.125 0.250
Pb6 0.375 0.625 0.250
Pb7 0.625 0.375 0.750
Pb8 0.125 0.875 0.750
Pb9 0.750 0.875 0.625
Pb10 0.625 0.250 0.375
Pb11 0.125 0.250 0.875
Pb12 0.250 0.625 0.875
Ti1 0.125 0.375 0.250
Ti2 0.000 0.500 0.000
Ti3 0.000 0.000 0.000
Ti4 0.375 0.250 0.125
Ti5 0.500 0.000 0.500
Ti6 0.500 0.500 0.000
Ti7 0.125 0.750 0.375
Ti8 0.750 0.125 0.875
Ti9 0.750 0.625 0.375
Ti10 0.375 0.125 0.750
Ti11 0.625 0.875 0.250
Ti12 0.500 0.500 0.500
Ti13 0.500 0.000 0.000
Ti14 0.000 0.000 0.500
Ti15 0.250 0.375 0.625
Ti16 0.250 0.875 0.125
Ti17 0.000 0.500 0.500
Ti18 0.875 0.250 0.625
Ti19 0.625 0.750 0.875
Ti20 0.875 0.625 0.750
S1 0.699 0.114 0.019
S2 0.319 0.519 0.405
S3 0.981 0.386 0.301
S4 0.519 0.199 0.114
S5 0.585 0.699 0.681
S6 0.981 0.595 0.181
S7 0.319 0.801 0.415
S8 0.095 0.915 0.114
S9 0.595 0.981 0.681
S10 0.699 0.585 0.181
S11 0.801 0.481 0.386
S12 0.819 0.905 0.019
S13 0.114 0.699 0.519
S14 0.386 0.405 0.085
S15 0.085 0.905 0.386
S16 0.415 0.114 0.595
S17 0.085 0.181 0.199
S18 0.481 0.681 0.095
S19 0.819 0.915 0.301
S20 0.114 0.415 0.095
S21 0.386 0.981 0.801
S22 0.595 0.614 0.415
S23 0.905 0.819 0.519
S24 0.801 0.319 0.915
S25 0.405 0.386 0.585
S26 0.095 0.181 0.481
S27 0.199 0.681 0.085
S28 0.181 0.085 0.699
S29 0.614 0.019 0.199
S30 0.886 0.585 0.905
S31 0.519 0.319 0.905
S32 0.585 0.886 0.405
S33 0.915 0.819 0.801
S34 0.915 0.095 0.614
S35 0.886 0.301 0.481
S36 0.181 0.095 0.981
S37 0.614 0.595 0.915
S38 0.405 0.019 0.319
S39 0.301 0.415 0.819
S40 0.199 0.519 0.614
S41 0.905 0.085 0.886
S42 0.681 0.199 0.585
S43 0.481 0.801 0.886
S44 0.019 0.405 0.819
S45 0.415 0.301 0.319
S46 0.019 0.614 0.699
S47 0.681 0.481 0.595
S48 0.301 0.886 0.981

---

# PBE-GGA Sr2DyPbS4, relaxed
# Formation energy (no corrections): -1263.6 kJ/mol of formula units
# Space-group type: P2/m
# DOS(E_F): 3.085 states/eV/f.u.
data_Sr2DyPbS4
_symmetry_space_group_name_H-M 'P 1'
_symmetry_Int_Tables_number 1
_cell_length_a 4.147
_cell_length_b 7.282
_cell_length_c 7.209
_cell_angle_alpha 109.31
_cell_angle_beta 90.00
_cell_angle_gamma 90.00
loop_
_symmetry_equiv_pos_as_xyz
'x,y,z'
loop_
_atom_site_label
_atom_site_fract_x
_atom_site_fract_y
_atom_site_fract_z
Sr1 0.500 0.000 0.500
Sr2 0.000 0.500 0.500
Dy1 0.500 0.500 0.000
Pb1 0.000 0.000 0.000
S1 0.500 0.261 0.240
S2 0.500 0.739 0.760
S3 0.000 0.267 0.767
S4 0.000 0.733 0.233

---

# PBE-GGA Cd13Ga2, relaxed
# Polymorph energy (0 for the lowest one): 100.7 meV/atom
# Space-group type: R-3m
# DOS(E_F): 7.164 states/eV/f.u.
data_Cd13Ga2
_symmetry_space_group_name_H-M 'P 1'
_symmetry_Int_Tables_number 1
_cell_length_a 7.790
_cell_length_b 7.790
_cell_length_c 8.725
_cell_angle_alpha 63.48
_cell_angle_beta 63.48
_cell_angle_gamma 60.00
loop_
_symmetry_equiv_pos_as_xyz
'x,y,z'
loop_
_atom_site_label
_atom_site_fract_x
_atom_site_fract_y
_atom_site_fract_z
Cd1 0.500 0.500 0.500
Cd2 0.996 0.603 0.798
Cd3 0.603 0.603 0.798
Cd4 0.603 0.996 0.798
Cd5 0.397 0.004 0.202
Cd6 0.004 0.397 0.202
Cd7 0.397 0.397 0.202
Cd8 0.127 0.751 0.371
Cd9 0.751 0.751 0.371
Cd10 0.751 0.127 0.371
Cd11 0.249 0.873 0.629
Cd12 0.873 0.249 0.629
Cd13 0.249 0.249 0.629
Ga1 0.632 0.632 0.105
Ga2 0.368 0.368 0.895

---

# PBE-GGA Sm5Dy6Pu, relaxed
# Space-group type: C2/m
# DOS(E_F): 23.349 states/eV/f.u.
data_Sm5Dy6Pu
_symmetry_space_group_name_H-M 'P 1'
_symmetry_Int_Tables_number 1
_cell_length_a 6.184
_cell_length_b 6.188
_cell_length_c 11.752
_cell_angle_alpha 84.96
_cell_angle_beta 79.86
_cell_angle_gamma 60.02
loop_
_symmetry_equiv_pos_as_xyz
'x,y,z'
loop_
_atom_site_label
_atom_site_fract_x
_atom_site_fract_y
_atom_site_fract_z
Pu1 0.000 0.000 0.000
Sm1 0.167 0.666 0.500
Sm2 0.333 0.333 0.000
Sm3 0.500 0.000 0.500
Sm4 0.667 0.667 0.000
Sm5 0.833 0.334 0.500
Dy1 0.589 0.329 0.247
Dy2 0.082 0.329 0.753
Dy3 0.753 0.000 0.753
Dy4 0.247 0.000 0.247
Dy5 0.918 0.671 0.247
Dy6 0.411 0.671 0.753

---

# PBE-GGA TlNi2, relaxed
# Space-group type: P-3m1
# DOS(E_F): 4.685 states/eV/f.u.
data_TlNi2
_symmetry_space_group_name_H-M 'P 1'
_symmetry_Int_Tables_number 1
_cell_length_a 3.080
_cell_length_b 3.080
_cell_length_c 5.808
_cell_angle_alpha 90.00
_cell_angle_beta 90.00
_cell_angle_gamma 120.00
loop_
_symmetry_equiv_pos_as_xyz
'x,y,z'
loop_
_atom_site_label
_atom_site_fract_x
_atom_site_fract_y
_atom_site_fract_z
Ni1 0.667 0.333 0.642
Ni2 0.333 0.667 0.358
Tl1 0.000 0.000 0.000

---

# PBE-GGA Ce6Bi3TeAs2, relaxed
# Formation energy (no corrections): -1254.2 kJ/mol of formula units
# Space-group type: C2/m
# DOS(E_F): 36.601 states/eV/f.u.
data_Ce6Bi3TeAs2
_symmetry_space_group_name_H-M 'P 1'
_symmetry_Int_Tables_number 1
_cell_length_a 4.435
_cell_length_b 8.948
_cell_length_c 9.972
_cell_angle_alpha 103.36
_cell_angle_beta 102.85
_cell_angle_gamma 90.00
loop_
_symmetry_equiv_pos_as_xyz
'x,y,z'
loop_
_atom_site_label
_atom_site_fract_x
_atom_site_fract_y
_atom_site_fract_z
Ce1 0.331 0.897 0.663
Ce2 0.672 0.570 0.345
Ce3 0.669 0.103 0.337
Ce4 0.009 0.253 0.019
Ce5 0.991 0.747 0.981
Ce6 0.328 0.430 0.655
Bi1 0.500 0.500 0.000
Bi2 0.838 0.167 0.675
Bi3 0.162 0.833 0.325
Te1 0.500 0.000 0.000
As1 0.832 0.666 0.664
As2 0.168 0.334 0.336

---

# PBE-GGA SnHI2O, relaxed
# Polymorph energy (0 for the lowest one): 176.7 meV/atom
# Space-group type: P4/mmm
# DOS(E_F): 3.955 states/eV/f.u.
data_SnHI2O
_symmetry_space_group_name_H-M 'P 1'
_symmetry_Int_Tables_number 1
_cell_length_a 6.408
_cell_length_b 6.408
_cell_length_c 2.914
_cell_angle_alpha 90.00
_cell_angle_beta 90.00
_cell_angle_gamma 90.00
loop_
_symmetry_equiv_pos_as_xyz
'x,y,z'
loop_
_atom_site_label
_atom_site_fract_x
_atom_site_fract_y
_atom_site_fract_z
I1 0.000 0.500 0.000
I2 0.500 0.000 0.000
H1 0.000 0.000 0.000
Sn1 0.500 0.500 0.500
O1 0.000 0.000 0.500

---

# PBE-GGA Sm4SnSe2S, relaxed
# Formation energy (no corrections): -1223.0 kJ/mol of formula units
# Space-group type: P2/m
# DOS(E_F): 3.162 states/eV/f.u.
data_Sm4SnSe2S
_symmetry_space_group_name_H-M 'P 1'
_symmetry_Int_Tables_number 1
_cell_length_a 4.221
_cell_length_b 7.336
_cell_length_c 7.310
_cell_angle_alpha 70.46
_cell_angle_beta 90.00
_cell_angle_gamma 90.00
loop_
_symmetry_equiv_pos_as_xyz
'x,y,z'
loop_
_atom_site_label
_atom_site_fract_x
_atom_site_fract_y
_atom_site_fract_z
Sm1 0.000 0.753 0.739
Sm2 0.000 0.247 0.261
Sm3 0.500 0.741 0.263
Sm4 0.500 0.259 0.737
Sn1 0.500 0.500 0.000
Se1 0.000 0.000 0.000
Se2 0.500 0.000 0.500
S1 0.000 0.500 0.500

---

# PBE-GGA CrCuOs, relaxed
# Polymorph energy (0 for the lowest one): 172.5 meV/atom
# Space-group type: Fmm2
# DOS(E_F): 2.816 states/eV/f.u.
data_CrCuOs
_symmetry_space_group_name_H-M 'P 1'
_symmetry_Int_Tables_number 1
_cell_length_a 6.850
_cell_length_b 6.652
_cell_length_c 2.581
_cell_angle_alpha 83.32
_cell_angle_beta 74.70
_cell_angle_gamma 21.97
loop_
_symmetry_equiv_pos_as_xyz
'x,y,z'
loop_
_atom_site_label
_atom_site_fract_x
_atom_site_fract_y
_atom_site_fract_z
Cr1 0.002 0.002 0.998
Cu1 0.338 0.338 0.662
Os1 0.661 0.661 0.339

---

| no. | E (eV per atom) | magnetic moment (μB per atom) |
| --- | --- | --- |
| 1 | -5.3255 | 0.000 |
| 2 | -4.2965 | 0.000 |
| 3 | -4.8642 | 0.000 |
| 4 | -4.6543 | 0.308 |
| 5 | -3.4551 | 0.000 |
| 6 | -4.6337 | 0.000 |
| 7 | -5.0632 | 0.000 |
| 8 | -2.3962 | 0.000 |
| 9 | -2.1182 | 0.259 |
| 10 | -5.7909 | 0.000 |
| 11 | -5.9765 | 0.102 |
| 12 | -5.1600 | 0.000 |
| 13 | -1.0733 | 0.000 |
| 14 | -5.4181 | 0.538 |
| 15 | -4.1236 | 0.150 |
| 16 | -6.0572 | 0.464 |
| 17 | -2.7859 | 0.141 |
| 18 | -5.8314 | 0.000 |
| 19 | -7.9414 | 0.000 |